First-principles (PBE) data for a relaxed structure of Mg2H4Pt, as listed in Alexandria via LeMat-Bulk.

## Properties
The calculated volume is 73.4 Å³/cell. The calculation puts the calculated density at 5.61 g/cm3. As for the electronic total energy: -3.266 eV per atom.

abc: 3.6570 3.6570 6.0649
angles: 72.45 72.45 90.00
Fractional coordinates of all 7 atoms:
H 0.1670 0.1670 0.6660
H 0.8330 0.8330 0.3340
H 0.0000 0.5000 0.0000
H 0.5000 0.0000 0.0000
Mg 0.3558 0.3558 0.2884
Mg 0.6442 0.6442 0.7116
Pt 0.0000 0.0000 0.0000